# 1
Compound: ErSiAu
Source: the Alexandria database
Functional: PBE
Structure: optimized geometry

Geometry as CIF:
```
data_ErSiAu
_symmetry_space_group_name_H-M 'P 1'
_symmetry_Int_Tables_number 1
_cell_length_a 3.8323
_cell_length_b 4.7819
_cell_length_c 6.8790
_cell_angle_alpha 90.00
_cell_angle_beta 105.44
_cell_angle_gamma 90.00
loop_
_symmetry_equiv_pos_as_xyz
'x,y,z'
loop_
_atom_site_label
_atom_site_type_symbol
_atom_site_fract_x
_atom_site_fract_y
_atom_site_fract_z
Er1 Er 0.1061 0.2500 0.1783
Er2 Er 0.8939 0.7500 0.8217
Si1 Si 0.2138 0.7500 0.4936
Si2 Si 0.7862 0.2500 0.5064
Au1 Au 0.4186 0.2500 0.7862
Au2 Au 0.5814 0.7500 0.2138
```

Results
- Uncorrected energy: -29.1 eV/cell
- Space-group type: No. 11


# 2
Compound: Rb3Tl2Cl9
Source: the Alexandria database
Functional: PBE
Structure: optimized geometry

Geometry as CIF:
```
data_Rb3Tl2Cl9
_symmetry_space_group_name_H-M 'P 1'
_symmetry_Int_Tables_number 1
_cell_length_a 7.4220
_cell_length_b 7.4220
_cell_length_c 19.2754
_cell_angle_alpha 90.00
_cell_angle_beta 90.00
_cell_angle_gamma 120.00
loop_
_symmetry_equiv_pos_as_xyz
'x,y,z'
loop_
_atom_site_label
_atom_site_type_symbol
_atom_site_fract_x
_atom_site_fract_y
_atom_site_fract_z
Rb1 Rb 0.0000 0.0000 0.2500
Rb2 Rb 0.0000 0.0000 0.7500
Rb3 Rb 0.3333 0.6667 0.0648
Rb4 Rb 0.3333 0.6667 0.4352
Rb5 Rb 0.6667 0.3333 0.5648
Rb6 Rb 0.6667 0.3333 0.9352
Tl1 Tl 0.3333 0.6667 0.6542
Tl2 Tl 0.3333 0.6667 0.8458
Tl3 Tl 0.6667 0.3333 0.1542
Tl4 Tl 0.6667 0.3333 0.3458
Cl1 Cl 0.0155 0.5077 0.7500
Cl2 Cl 0.1641 0.3282 0.5869
Cl3 Cl 0.1641 0.3282 0.9131
Cl4 Cl 0.1641 0.8359 0.5869
Cl5 Cl 0.1641 0.8359 0.9131
Cl6 Cl 0.3282 0.1641 0.0869
Cl7 Cl 0.3282 0.1641 0.4131
Cl8 Cl 0.4923 0.5077 0.7500
Cl9 Cl 0.4923 0.9845 0.7500
Cl10 Cl 0.5077 0.0155 0.2500
Cl11 Cl 0.5077 0.4923 0.2500
Cl12 Cl 0.6718 0.8359 0.5869
Cl13 Cl 0.6718 0.8359 0.9131
Cl14 Cl 0.8359 0.1641 0.0869
Cl15 Cl 0.8359 0.1641 0.4131
Cl16 Cl 0.8359 0.6718 0.0869
Cl17 Cl 0.8359 0.6718 0.4131
Cl18 Cl 0.9845 0.4923 0.2500
```

Results
- Uncorrected energy: -83.7 eV/cell
- Space-group type: No. 194


# 3
Compound: Ag2AsIr
Source: the Alexandria database
Functional: PBE
Structure: optimized geometry

Geometry as CIF:
```
data_Ag2AsIr
_symmetry_space_group_name_H-M 'P 1'
_symmetry_Int_Tables_number 1
_cell_length_a 5.5297
_cell_length_b 5.5297
_cell_length_c 5.5297
_cell_angle_alpha 146.83
_cell_angle_beta 129.42
_cell_angle_gamma 61.84
loop_
_symmetry_equiv_pos_as_xyz
'x,y,z'
loop_
_atom_site_label
_atom_site_type_symbol
_atom_site_fract_x
_atom_site_fract_y
_atom_site_fract_z
Ag1 Ag 0.0000 0.0000 0.0000
Ag2 Ag 0.7185 0.2185 0.5000
As1 As 0.2711 0.7711 0.5000
Ir1 Ir 0.4607 0.4607 0.0000
```

Results
- Energy of formation from the pure elements: 0.219 eV/atom
- Space-group type: No. 44


# 4
Compound: Rb4TaMn3Se8
Source: the Alexandria database
Functional: PBE
Structure: optimized geometry

Geometry as CIF:
```
data_Rb4TaMn3Se8
_symmetry_space_group_name_H-M 'P 1'
_symmetry_Int_Tables_number 1
_cell_length_a 7.9889
_cell_length_b 7.9889
_cell_length_c 9.0618
_cell_angle_alpha 116.15
_cell_angle_beta 116.15
_cell_angle_gamma 60.05
loop_
_symmetry_equiv_pos_as_xyz
'x,y,z'
loop_
_atom_site_label
_atom_site_type_symbol
_atom_site_fract_x
_atom_site_fract_y
_atom_site_fract_z
Rb1 Rb 0.0000 0.0000 0.0000
Rb2 Rb 0.0000 0.5000 0.0000
Rb3 Rb 0.5000 0.0000 0.0000
Rb4 Rb 0.5000 0.5000 0.0000
Ta1 Ta 0.0000 0.0000 0.5000
Mn1 Mn 0.0000 0.5000 0.5000
Mn2 Mn 0.5000 0.0000 0.5000
Mn3 Mn 0.5000 0.5000 0.5000
Se1 Se 0.2204 0.2204 0.6822
Se2 Se 0.2203 0.7408 0.6818
Se3 Se 0.2592 0.7797 0.3182
Se4 Se 0.2789 0.2789 0.3367
Se5 Se 0.7211 0.7211 0.6633
Se6 Se 0.7408 0.2203 0.6818
Se7 Se 0.7797 0.2592 0.3182
Se8 Se 0.7796 0.7796 0.3178
```

Results
- Uncorrected energy: -83.2 eV/cell
- Space-group type: No. 12


# 5
Compound: SrLa3C8
Source: the Alexandria database
Functional: PBE
Structure: optimized geometry

Geometry as CIF:
```
data_SrLa3C8
_symmetry_space_group_name_H-M 'P 1'
_symmetry_Int_Tables_number 1
_cell_length_a 6.6638
_cell_length_b 6.6638
_cell_length_c 6.6638
_cell_angle_alpha 112.67
_cell_angle_beta 112.67
_cell_angle_gamma 103.24
loop_
_symmetry_equiv_pos_as_xyz
'x,y,z'
loop_
_atom_site_label
_atom_site_type_symbol
_atom_site_fract_x
_atom_site_fract_y
_atom_site_fract_z
Sr1 Sr 0.0000 0.0000 0.0000
La1 La 0.2500 0.7500 0.5000
La2 La 0.5000 0.5000 0.0000
La3 La 0.7500 0.2500 0.5000
C1 C 0.0718 0.0718 0.6558
C2 C 0.1235 0.5965 0.0000
C3 C 0.4035 0.4035 0.5269
C4 C 0.4160 0.4160 0.3442
C5 C 0.5840 0.9282 0.0000
C6 C 0.5965 0.1235 0.0000
C7 C 0.8765 0.8765 0.4731
C8 C 0.9282 0.5840 0.0000
```

Results
- Energy of formation from the pure elements: 0.111 eV/atom
- Space-group type: No. 121


# 6
Compound: Zn4Te3
Source: the Alexandria database
Functional: PBE
Structure: optimized geometry

Geometry as CIF:
```
data_Zn4Te3
_symmetry_space_group_name_H-M 'P 1'
_symmetry_Int_Tables_number 1
_cell_length_a 6.9182
_cell_length_b 6.9182
_cell_length_c 4.5223
_cell_angle_alpha 90.00
_cell_angle_beta 90.00
_cell_angle_gamma 120.00
loop_
_symmetry_equiv_pos_as_xyz
'x,y,z'
loop_
_atom_site_label
_atom_site_type_symbol
_atom_site_fract_x
_atom_site_fract_y
_atom_site_fract_z
Zn1 Zn 0.0000 0.0000 0.2491
Zn2 Zn 0.0000 0.0000 0.7509
Zn3 Zn 0.3333 0.6667 0.5000
Zn4 Zn 0.6667 0.3333 0.5000
Te1 Te 0.0000 0.5000 0.0000
Te2 Te 0.5000 0.0000 0.0000
Te3 Te 0.5000 0.5000 0.0000
```

Results
- Relative energy among the computed polymorphs: 371 meV per atom
- Space-group type: No. 191